VASP calculation (PBE-GGA) on a relaxed structure of YPbSeN2.

As for the energy relative to the elements, uncorrected: 0.38 eV/atom.

Unit cell a=4.536 b=4.536 c=5.669 alpha=90.00 beta=90.00 gamma=90.00
Space group P4/mmm (No. 123)
Asymmetric unit:
Y 0.000 0.000 0.000 [1 per cell]
Pb 0.500 0.500 0.500 [1 per cell]
Se 0.000 0.000 0.500 [1 per cell]
N 0.000 0.500 0.000 [2 per cell]